DFT (PBE) results for a relaxed Pd6PtPb2 crystal.

Properties
E (eV per atom): -5.000
Crystal system: monoclinic
ρ (g/cm³): 12.44

Unit cell a=6.3925 b=5.6453 c=5.6453 alpha=57.44 beta=77.75 gamma=77.75
With the nearest neighbours (Å) after each atom.
Sites, in units of the cell vectors:
Pd: 0.3954 0.8106 0.8106  1 Pt 2.76, 6 Pd 2.83-2.94, 1 Pb 2.90
Pd: 0.2974 0.3372 0.8237  1 Pt 2.63, 6 Pd 2.64-2.94, 1 Pb 2.85
Pd: 0.6046 0.1894 0.1894  1 Pt 2.76, 6 Pd 2.83-2.94, 1 Pb 2.90
Pd: 0.7026 0.6628 0.1763  1 Pt 2.63, 6 Pd 2.64-2.94, 1 Pb 2.85
Pd: 0.7026 0.1763 0.6628  1 Pt 2.63, 6 Pd 2.64-2.94, 1 Pb 2.85
Pd: 0.2974 0.8237 0.3372  1 Pt 2.63, 6 Pd 2.64-2.94, 1 Pb 2.85
Pt: 0.0000 0.0000 0.0000  6 Pd 2.63-2.76
Pb: 0.8462 0.6621 0.6621  9 Pd 2.85-3.10, 2 Pt 3.18
Pb: 0.1538 0.3379 0.3379  9 Pd 2.85-3.10, 2 Pt 3.18